(1)
The following is a PBE calculation of crystalline TaNbCrTe2 at its relaxed geometry, from the Alexandria database.

Summary:
- Uncorrected formation energy: 1.1343 eV per atom
- DOS at the Fermi energy: 5.27 states/eV/cell
- Energy: -6.43 eV per atom
- Calculated density: 8.5 g/cm3

Cell lengths 5.0236, 5.0236, 4.4979 Å; angles 90.00, 90.00, 90.00 degrees
Closest atoms and distances in Å follow each position.
Space group P4/mmm (No. 123)
One atom of each set of equivalent atoms:
Ta 0.0000 0.0000 0.0000 [1 per cell]  8 Te 3.37, 4 Nb 3.55
Nb 0.5000 0.5000 0.0000 [1 per cell]  2 Cr 2.25
Cr 0.5000 0.5000 0.5000 [1 per cell]  2 Nb 2.25, 4 Te 2.51
Te 0.0000 0.5000 0.5000 [2 per cell]  2 Cr 2.51

***

(2)
The following is a PBE calculation of crystalline TaTiNbCr at its relaxed geometry, from the Alexandria database.

Summary:
- DOS at the Fermi energy: 26.82 states/eV/cell
- Energy: -9.78 eV per atom
- E_form: 0.079 eV per atom
- Calculated density: 9.7 g/cm3

Cell lengths 6.3590, 6.3590, 6.3590 Å; angles 90.00, 90.00, 90.00 degrees
Closest atoms and distances in Å follow each position.
Space group F-43m (No. 216)
One atom of each set of equivalent atoms:
Ta 0.0000 0.0000 0.0000 [4 per cell]  4 Ti 2.75, 4 Cr 2.75
Ti 0.2500 0.2500 0.7500 [4 per cell]  4 Ta 2.75, 4 Nb 2.75
Nb 0.0000 0.0000 0.5000 [4 per cell]  4 Cr 2.75, 4 Ti 2.75
Cr 0.2500 0.2500 0.2500 [4 per cell]  4 Ta 2.75, 4 Nb 2.75

***

(3)
The following is a PBE calculation of crystalline TaNbV2Cr at its relaxed geometry, from the Alexandria database.

Summary:
- DOS at the Fermi energy: 8.20 states/eV/cell
- Energy: -8.07 eV per atom
- E_form: 1.891 eV per atom
- Calculated density: 7.3 g/cm3

Cell lengths 4.4296, 4.4296, 4.9686 Å; angles 90.00, 90.00, 90.00 degrees
Closest atoms and distances in Å follow each position.
Space group P4/mmm (No. 123)
One atom of each set of equivalent atoms:
Ta 0.0000 0.0000 0.0000 [1 per cell]  2 Nb 2.48
Nb 0.0000 0.0000 0.5000 [1 per cell]  4 V 2.21
V 0.0000 0.5000 0.5000 [2 per cell]  2 Nb 2.21
Cr 0.5000 0.5000 0.0000 [1 per cell]  4 Ta 3.13, 8 V 3.33

***

(4)
The following is a PBE calculation of crystalline ZrTa2NbCr at its relaxed geometry, from the Alexandria database.

Summary:
- DOS at the Fermi energy: 11.46 states/eV/cell
- Energy: -8.08 eV per atom
- E_form: 2.309 eV per atom
- Calculated density: 8.8 g/cm3

Cell lengths 4.8718, 4.8718, 4.7728 Å; angles 90.00, 90.00, 90.00 degrees
Closest atoms and distances in Å follow each position.
Space group P4/mmm (No. 123)
One atom of each set of equivalent atoms:
Zr 0.0000 0.0000 0.0000 [1 per cell]  2 Nb 2.39, 4 Ta 2.44
Ta 0.0000 0.5000 0.0000 [2 per cell]  2 Zr 2.44
Nb 0.0000 0.0000 0.5000 [1 per cell]  2 Zr 2.39
Cr 0.5000 0.5000 0.5000 [1 per cell]  8 Ta 3.41, 4 Nb 3.44